Here is a relaxed PrGdRh crystal from the Alexandria database. Energies are from PBE.

a = 6.929 Å, b = 6.929 Å, c = 6.929 Å
α = 150.34°, β = 150.34°, γ = 42.45°
Element x y z (fractional)
Pr1 0.000 0.000 0.000
Gd1 0.258 0.258 0.000
Rh1 0.638 0.638 0.000

formation enthalpy at 0 K = -451 meV per atom
density = 8.19 Mg/m³
symmetry = I4mm, No. 107
crystal system = tetragonal
E above lowest polymorph = 0.025 eV/atom
uncorrected energy = -9.1885 eV/atom

=====

Here is a relaxed USb2Pd crystal from the Alexandria database. Energies are from PBE.

a = 4.360 Å, b = 4.360 Å, c = 9.640 Å
α = 90.00°, β = 90.00°, γ = 90.00°
Element x y z (fractional)
U1 0.250 0.250 0.248
U2 0.750 0.750 0.752
Sb1 0.250 0.250 0.820
Sb2 0.250 0.750 0.500
Sb3 0.750 0.250 0.500
Sb4 0.750 0.750 0.180
Pd1 0.250 0.750 0.000
Pd2 0.750 0.250 0.000

density = 10.66 Mg/m³
formation energy (no corrections) = -1.7 eV per formula unit
symmetry = P4/nmm, No. 129
crystal system = tetragonal
E above lowest polymorph = 0.000 eV/atom
uncorrected energy = -6.6172 eV/atom

=====

Here is a relaxed PrPaAl2 crystal from the Alexandria database. Energies are from PBE.

a = 5.592 Å, b = 5.592 Å, c = 3.098 Å
α = 90.00°, β = 90.00°, γ = 90.00°
Element x y z (fractional)
Pr1 0.000 0.000 0.000
Pa1 0.500 0.500 0.000
Al1 0.000 0.500 0.500
Al2 0.500 0.000 0.500

formation enthalpy at 0 K = -105 meV per atom
density = 7.30 Mg/m³
symmetry = P4/mmm, No. 123
crystal system = tetragonal
E above lowest polymorph = 0.085 eV/atom
uncorrected energy = -5.5448 eV/atom

=====

Here is a relaxed P2Au crystal from the Alexandria database. Energies are from PBE.

a = 5.671 Å, b = 5.671 Å, c = 5.671 Å
α = 148.34°, β = 147.60°, γ = 45.93°
Element x y z (fractional)
P1 0.203 0.203 0.000
P2 0.797 0.797 0.000
Au1 0.000 0.500 0.500

formation enthalpy at 0 K = 277 meV per atom
density = 8.41 Mg/m³
symmetry = Immm, No. 71
crystal system = orthorhombic
uncorrected energy = -4.4222 eV/atom